Record 1
Material: CeThNiPt
Method: DFT, GGA-PBE
State: relaxed

The structure in POSCAR format:
```
CeThNiPt
1.0
4.380 0.000 0.000
0.000 1.915 5.474
0.000 -1.915 5.474
Ce Th Ni Pt
1 1 1 1
Direct
0.000 0.000 0.000 Ce
0.500 0.275 0.275 Th
0.500 0.544 0.544 Ni
0.000 0.721 0.721 Pt
```

Output
energy above the lowest structure with this stoichiometry = 0 meV per atom
VASP energy = -28.17 eV/cell
crystal system = orthorhombic
density of states at the Fermi level = 6.10 states/eV/cell
M_tot = 0.6 μB/cell

---

Record 2
Material: CeThNiPt
Method: DFT, GGA-PBE
State: relaxed

The structure in POSCAR format:
```
CeThNiPt
1.0
0.000 3.541 3.541
3.541 0.000 3.541
3.541 3.541 0.000
Ce Th Ni Pt
1 1 1 1
Direct
0.000 0.000 0.000 Ce
0.500 0.500 0.500 Th
0.750 0.750 0.750 Ni
0.250 0.250 0.250 Pt
```

Output
energy above the lowest structure with this stoichiometry = 146 meV per atom
VASP energy = -27.59 eV/cell
crystal system = cubic
density of states at the Fermi level = 7.34 states/eV/cell
M_tot = 0.7 μB/cell

---

Record 3
Material: CeTmNiPt
Method: DFT, GGA-PBE
State: relaxed

The structure in POSCAR format:
```
CeTmNiPt
1.0
4.311 0.000 0.000
0.000 1.844 5.327
0.000 -1.844 5.327
Ce Tm Ni Pt
1 1 1 1
Direct
0.000 0.000 0.000 Ce
0.500 0.276 0.276 Tm
0.500 0.546 0.546 Ni
0.000 0.720 0.720 Pt
```

Output
energy above the lowest structure with this stoichiometry = 0 meV per atom
VASP energy = -25.51 eV/cell
crystal system = orthorhombic
density of states at the Fermi level = 5.54 states/eV/cell
M_tot = 0.2 μB/cell

---

> What is the formula in the second record?

CeThNiPt

---

> Which value of VASP energy does entry 3 give?

-25.51 eV/cell